Entry 1:
Ba2LiCa | meta-GGA SCAN | single point on PBEsol structure Values from VASP.

The space-group type is Immm. The formation energy comes out at 0.09 eV/atom.

```
&SYSTEM
  ibrav = 0, nat = 4, ntyp = 3
/
ATOMIC_SPECIES
Li 6.94 Li.upf
Ca 40.08 Ca.upf
Ba 137.33 Ba.upf
CELL_PARAMETERS angstrom
-2.2701 2.6034 -3.0414
-1.8309 -5.2042 -3.0882
-2.9525 0.9981 6.5403
ATOMIC_POSITIONS crystal
Li 0.0000 0.5000 0.0000
Ca 0.5000 0.0000 0.0000
Ba 0.2754 0.2754 0.5509
Ba 0.7246 0.7246 0.4491
```

Entry 2:
P3RhO9 | meta-GGA SCAN | single point on PBEsol structure Values from VASP.

The space-group type is Cc. For the final energy, the calculation gives -11.396 eV/atom.

```
&SYSTEM
  ibrav = 0, nat = 78, ntyp = 3
/
ATOMIC_SPECIES
O 16.00 O.upf
Rh 102.91 Rh.upf
P 30.97 P.upf
CELL_PARAMETERS angstrom
9.3570 -0.0043 0.0000
-1.4846 10.4179 0.0000
-3.9362 -5.2068 9.5570
ATOMIC_POSITIONS crystal
O 0.5091 0.3799 0.8073
O 0.3282 0.0372 0.5827
O 0.6552 0.3472 0.2257
O 0.2018 0.5726 0.1927
O 0.9295 0.1214 0.7743
O 0.7989 0.0203 0.2782
O 0.1544 0.3059 0.5289
O 0.6877 0.2196 0.3756
O 0.6244 0.2369 0.6419
O 0.8443 0.9019 0.0390
O 0.1790 0.0684 0.9554
O 0.1444 0.1796 0.2921
O 0.9736 0.4461 0.9552
O 0.2973 0.6484 0.7185
O 0.2127 0.3537 0.0103
O 0.1254 0.7770 0.4711
O 0.7024 0.3434 0.9897
O 0.3523 0.8876 0.7079
O 0.3053 0.8628 0.9610
O 0.6019 0.7417 0.0623
O 0.4825 0.5951 0.3581
O 0.8122 0.8440 0.6244
O 0.8749 0.6505 0.0670
O 0.0246 0.4534 0.6771
O 0.4537 0.1049 0.1430
O 0.0207 0.7421 0.7218
O 0.4587 0.6967 0.1965
O 0.4948 0.7078 0.6262
O 0.4863 0.4295 0.6164
O 0.1200 0.9871 0.6662
O 0.1838 0.9798 0.1222
O 0.0083 0.3169 0.1019
O 0.7236 0.1131 0.0446
O 0.1760 0.2822 0.7360
O 0.3079 0.5834 0.9330
O 0.8107 0.9619 0.8570
O 0.8475 0.7764 0.3229
O 0.4635 0.3267 0.3359
O 0.9538 0.3209 0.3338
O 0.8680 0.6464 0.4618
O 0.2455 0.4545 0.4173
O 0.0397 0.6795 0.9377
O 0.0789 0.9300 0.2815
O 0.6275 0.9907 0.6641
O 0.5616 0.8576 0.8778
O 0.9061 0.1846 0.5382
O 0.3699 0.8132 0.3836
O 0.4064 0.2150 0.8981
O 0.5184 0.4909 0.0448
O 0.7258 0.5810 0.5848
O 0.7622 0.5002 0.8035
O 0.3685 0.0816 0.3738
O 0.6410 0.9962 0.4152
O 0.9400 0.5462 0.2640
Rh 0.8301 0.3305 0.1606
Rh 0.8401 0.8359 0.1762
Rh 0.4953 0.0255 0.5106
Rh 0.1639 0.6597 0.8238
Rh 0.1695 0.1699 0.8394
Rh 0.4847 0.5149 0.4894
P 0.2743 0.0027 0.0344
P 0.8580 0.6997 0.6067
P 0.0981 0.4129 0.0644
P 0.4699 0.6323 0.0514
P 0.2325 0.9312 0.6070
P 0.7399 0.9683 0.9656
P 0.1255 0.3242 0.3930
P 0.5915 0.3781 0.7061
P 0.0689 0.3153 0.6301
P 0.3854 0.6720 0.2939
P 0.7955 0.9890 0.7285
P 0.5670 0.2605 0.2715
P 0.4203 0.7629 0.7250
P 0.9387 0.6852 0.3699
P 0.9184 0.5809 0.9486
P 0.7513 0.0930 0.3933
P 0.5337 0.3485 0.9356
P 0.1954 0.0379 0.2750
```

Entry 3:
Li4V3Cr5O16 | meta-GGA SCAN | single point on PBEsol structure Values from VASP.

The space-group type is Cm. For the final energy, the calculation gives -11.586 eV/atom.

```
&SYSTEM
  ibrav = 0, nat = 28, ntyp = 4
/
ATOMIC_SPECIES
V 50.94 V.upf
Li 6.94 Li.upf
O 16.00 O.upf
Cr 52.00 Cr.upf
CELL_PARAMETERS angstrom
-3.5084 4.4462 -0.7353
-5.5150 -0.8931 -1.1857
-1.9672 -0.0319 9.1418
ATOMIC_POSITIONS crystal
V 0.1744 0.1744 0.7885
V 0.3486 0.8226 0.2879
V 0.8226 0.3486 0.2879
Li 0.6642 0.6642 0.6122
Li 0.9993 0.9993 0.0043
Li 0.3306 0.3306 0.1083
Li 0.0022 0.0022 0.5045
O 0.1683 0.1683 0.3920
O 0.9560 0.5185 0.1586
O 0.3330 0.8393 0.8941
O 0.8349 0.8349 0.9004
O 0.6682 0.1730 0.3963
O 0.4778 0.4778 0.6590
O 0.1730 0.6682 0.3963
O 0.5185 0.9560 0.1586
O 0.3306 0.3306 0.9022
O 0.5178 0.5178 0.1560
O 0.6665 0.6665 0.4057
O 0.0392 0.4755 0.6570
O 0.0014 0.0014 0.6928
O 0.4755 0.0392 0.6570
O 0.8393 0.3330 0.8941
O 0.0016 0.0016 0.1934
Cr 0.6666 0.6666 0.0098
Cr 0.8287 0.8287 0.2872
Cr 0.3337 0.3337 0.5140
Cr 0.6579 0.1680 0.7866
Cr 0.1680 0.6579 0.7866
```

Entry 4:
ZnIn2Br | meta-GGA SCAN | single point on PBEsol structure Values from VASP.

The space-group type is P4/mmm. For the final energy, the calculation gives -24.978 eV/atom.

```
&SYSTEM
  ibrav = 0, nat = 4, ntyp = 3
/
ATOMIC_SPECIES
Br 79.90 Br.upf
In 114.82 In.upf
Zn 65.41 Zn.upf
CELL_PARAMETERS angstrom
-3.0439 -0.5298 -1.4919
-0.3740 -4.7001 2.4322
-2.4196 2.3173 4.1137
ATOMIC_POSITIONS crystal
Br 0.5000 0.5000 0.5000
In 0.0000 0.5000 0.0000
In 0.0000 0.0000 0.5000
Zn 0.5000 0.0000 0.0000
```

Please write out number 1 again, unchanged.
Ba2LiCa | meta-GGA SCAN | single point on PBEsol structure Values from VASP.

The space-group type is Immm. The formation energy comes out at 0.09 eV/atom.

```
&SYSTEM
  ibrav = 0, nat = 4, ntyp = 3
/
ATOMIC_SPECIES
Li 6.94 Li.upf
Ca 40.08 Ca.upf
Ba 137.33 Ba.upf
CELL_PARAMETERS angstrom
-2.2701 2.6034 -3.0414
-1.8309 -5.2042 -3.0882
-2.9525 0.9981 6.5403
ATOMIC_POSITIONS crystal
Li 0.0000 0.5000 0.0000
Ca 0.5000 0.0000 0.0000
Ba 0.2754 0.2754 0.5509
Ba 0.7246 0.7246 0.4491
```